Entry 1:
Compound: NaHfBe3
Source: the Alexandria database
Functional: GGA-PBEsol
Structure: optimized geometry

abc: 4.8890 4.8890 4.8890
angles: 90.00 90.00 90.00
Space group Pm-3m (No. 221)
Symmetry-distinct sites (fractional):
Na (0.0000, 0.0000, 0.0000) x1
Hf (0.5000, 0.5000, 0.5000) x1
Be (0.0000, 0.5000, 0.5000) x3

Summary:
density = 3.25 Mg/m³
E above lowest polymorph = 308 meV per atom
DFT formation energy = 1.566 eV per atom
Fermi-level density of states = 5.68 states/eV/f.u.
uncorrected energy = -3.214 eV per atom

***

Entry 2:
Compound: ZrCu4Rh
Source: the Alexandria database
Functional: GGA-PBEsol
Structure: optimized geometry

abc: 6.7844 6.7844 6.7844
angles: 90.00 90.00 90.00
Space group F-43m (No. 216)
Symmetry-distinct sites (fractional):
Zr (0.0000, 0.0000, 0.0000) x4
Cu (0.1244, 0.1244, 0.3756) x16
Rh (0.2500, 0.2500, 0.7500) x4

Summary:
density = 9.54 Mg/m³
DFT formation energy = -0.289 eV per atom
Fermi-level density of states = 4.50 states/eV/f.u.
uncorrected energy = -6.049 eV per atom

***

Entry 3:
Compound: TeIr2Rh
Source: the Alexandria database
Functional: GGA-PBEsol
Structure: optimized geometry

abc: 6.3184 6.3184 6.3184
angles: 90.00 90.00 90.00
Space group F-43m (No. 216)
Symmetry-distinct sites (fractional):
Te (0.0000, 0.0000, 0.0000) x4
Ir (0.0000, 0.0000, 0.5000) x4
Ir (0.2500, 0.2500, 0.7500) x4
Rh (0.2500, 0.2500, 0.2500) x4

Summary:
ΔE_f (raw) = 45 kJ per mole of atoms
density = 16.19 Mg/m³
Fermi-level density of states = 6.80 states/eV/f.u.
uncorrected energy = -7.357 eV per atom

***

Entry 4:
Compound: CeMnGe
Source: the Alexandria database
Functional: GGA-PBEsol
Structure: optimized geometry

abc: 4.1626 4.1626 6.3946
angles: 90.00 90.00 90.00
Space group P4/nmm (No. 129, origin choice 2)
Symmetry-distinct sites (fractional):
Ce (0.2500, 0.2500, 0.2027) x2
Mn (0.2500, 0.7500, 0.5000) x2
Ge (0.2500, 0.2500, 0.6959) x2

Summary:
density = 8.02 Mg/m³
DFT formation energy = -0.408 eV per atom
Fermi-level density of states = 4.54 states/eV/f.u.
uncorrected energy = -7.506 eV per atom